Computed, not measured: an optimized crystal structure of SmBiAu4 at the PBE level of DFT.

Cell: 4.8902 4.8902 6.4857 Å, 90.00 90.00 120.00°
Element x y z (fractional)
Sm  0.0000  0.0000  0.0000
Bi  0.0000  0.0000  0.5000
Au  0.3333  0.6667  0.2387
Au  0.3333  0.6667  0.7613
Au  0.6667  0.3333  0.2387
Au  0.6667  0.3333  0.7613

total magnetic moment: 0.0 μB per cell
energy above the most stable polymorph in this dataset: 0.000 eV/atom

---

Computed, not measured: an optimized crystal structure of SmBi8Au2 at the PBE level of DFT.

Cell: 10.2644 10.2644 4.4598 Å, 90.56 90.56 48.25°
Element x y z (fractional)
Sm  0.0000  0.0000  0.0000
Bi  0.1058  0.6792  0.5010
Bi  0.2661  0.2661  0.5062
Bi  0.3208  0.8942  0.4990
Bi  0.4185  0.4185  0.0047
Bi  0.5815  0.5815  0.9953
Bi  0.6792  0.1058  0.5010
Bi  0.7339  0.7339  0.4938
Bi  0.8942  0.3208  0.4990
Au  0.1693  0.1693  0.0013
Au  0.8307  0.8307  0.9987

total magnetic moment: 0.0 μB per cell

---

Computed, not measured: an optimized crystal structure of Sm5BiAu2 at the PBE level of DFT.

Cell: 8.9173 8.9173 8.9173 Å, 124.37 124.37 82.58°
Element x y z (fractional)
Sm  0.0000  0.0000  0.0000
Sm  0.0124  0.5124  0.8083
Sm  0.2040  0.0124  0.5000
Sm  0.2960  0.7960  0.8083
Sm  0.4876  0.2960  0.5000
Sm  0.5000  0.5000  0.0000
Sm  0.5124  0.7040  0.5000
Sm  0.7040  0.2040  0.1917
Sm  0.7960  0.9876  0.5000
Sm  0.9876  0.4876  0.1917
Bi  0.2500  0.2500  0.0000
Bi  0.7500  0.7500  0.0000
Au  0.1373  0.3627  0.5000
Au  0.3627  0.8627  0.2253
Au  0.6373  0.1373  0.7747
Au  0.8627  0.6373  0.5000

total magnetic moment: 0.0 μB per cell

---

The evaluated calculated total energy for the records listed, in turn: -4.06 -3.93 -4.91 eV per atom.
The evaluated formation energy from the elements for the records listed, in turn: -0.442 -0.084 -0.660 eV per atom.